Entry 1:
Cs2Cd12In5: optimized geometry, PBE-GGA.

a b c (Å): 8.121 8.121 8.121
angles (deg): 84.28 84.28 84.28
Element x y z (fractional)
Cs1 0.161 0.161 0.161
Cs2 0.839 0.839 0.839
Cd1 0.151 0.151 0.661
Cd2 0.151 0.661 0.151
Cd3 0.200 0.500 0.800
Cd4 0.200 0.800 0.500
Cd5 0.339 0.849 0.849
Cd6 0.500 0.200 0.800
Cd7 0.500 0.800 0.200
Cd8 0.661 0.151 0.151
Cd9 0.800 0.200 0.500
Cd10 0.800 0.500 0.200
Cd11 0.849 0.339 0.849
Cd12 0.849 0.849 0.339
In1 0.000 0.500 0.500
In2 0.402 0.402 0.402
In3 0.500 0.000 0.500
In4 0.500 0.500 0.000
In5 0.598 0.598 0.598

## Properties
- density (g/cm³) = 6.88
- calculated formation energy (eV per atom) = -0.019

***

Entry 2:
CsCdIn3: optimized geometry, PBE-GGA.

a b c (Å): 7.380 7.377 5.101
angles (deg): 69.81 69.74 40.45
Element x y z (fractional)
Cs1 0.000 0.000 0.000
Cd1 0.616 0.616 0.384
In1 0.249 0.249 0.251
In2 0.381 0.381 0.619
In3 0.749 0.749 0.751

## Properties
- density (g/cm³) = 5.85
- polymorph energy (0 for the lowest one) (meV/atom) = 0
- calculated formation energy (eV per atom) = -0.089